Record 1
Nd3Sn2H (PBE-GGA, optimized geometry); space group = No. 15; density = 6.9 Mg/m³; DFT total energy = -58.847 eV per cell
1.0
5.900 -3.232 0.000
5.900 3.232 0.000
-2.307 0.000 8.527
Nd Sn H
6 4 2
Cartesian
4.170 2.283 6.395
3.391 0.802 2.958
2.238 -0.802 7.221
7.255 0.802 1.306
6.101 -0.802 5.569
5.323 -2.283 2.132
1.731 0.854 0.062
0.578 -0.854 4.325
8.915 0.854 4.202
7.761 -0.854 8.465
4.170 0.058 6.395
5.323 -0.058 2.132

***

Record 2
Nd4Sn2H (PBE-GGA, optimized geometry); E above lowest polymorph = 0.0000 eV/atom; space group = No. 139; density = 7.0 Mg/m³; DFT total energy = -34.722 eV per cell
1.0
-2.351 2.351 8.766
2.351 -2.351 8.766
2.351 2.351 -8.766
Nd Sn H
4 2 1
Cartesian
2.351 0.000 0.000
0.000 0.000 3.136
0.000 2.351 0.000
0.000 0.000 14.397
0.000 0.000 6.365
0.000 0.000 11.168
0.000 0.000 0.000

***

Q: Which value of DFT total energy does entry 2 give?
A: -34.722 eV per cell

***

Q: Which value of DFT total energy does entry 2 give?
A: -34.722 eV per cell

***

Q: The lowest DFT total energy belongs to which entry?
A: Nd3Sn2H

***

Q: Which of these has the highest density?
A: Nd4Sn2H